No. 1
## TaCr2ReH (GGA-PBE)

Data for a geometry-optimized TaCr2ReH structure.

Cell lengths 3.801, 3.801, 4.137 Å; angles 90.00, 90.00, 90.00 degrees
Site moments in Bohr magnetons follow the coordinates.
Element x y z (fractional)
Re: 0.000 0.000 0.500  -0.06
Cr: 0.000 0.500 0.000  0.70
Cr: 0.500 0.000 0.000  0.70
H: 0.000 0.000 0.000  0.00
Ta: 0.500 0.500 0.500  -0.01

Values from the calculation:
- Crystal system: tetragonal
- Density: 13.1 Mg/m³
- Energy above the lowest structure with this stoichiometry: 25 meV per atom
- Fermi-level density of states: 1.08 states/eV/atom
- Symmetry: P4/mmm, No. 123


No. 2
## MnNi2Ru (GGA-PBE)

Data for a geometry-optimized MnNi2Ru structure.

Cell lengths 4.478, 4.478, 2.599 Å; angles 90.02, 90.02, 110.48 degrees
Site moments in Bohr magnetons follow the coordinates.
Element x y z (fractional)
Mn: 0.000 0.500 0.500  3.10
Ni: 0.000 0.000 0.000  0.37
Ni: 0.500 0.500 0.000  0.37
Ru: 0.500 0.000 0.500  0.16

Values from the calculation:
- Crystal system: orthorhombic
- Density: 9.3 Mg/m³
- Fermi-level density of states: 1.11 states/eV/atom
- Symmetry: Cmmm, No. 65
- Formation enthalpy at 0 K: 0.053 eV per atom


No. 3
## ZrTe2Pd (GGA-PBE)

Data for a geometry-optimized ZrTe2Pd structure.

Cell lengths 4.006, 4.006, 7.357 Å; angles 74.20, 74.20, 60.00 degrees
Element x y z (fractional)
Zr: 0.506 0.506 0.483
Te: 0.080 0.080 0.759
Te: 0.255 0.255 0.235
Pd: 0.659 0.659 0.023

Values from the calculation:
- Crystal system: trigonal
- Density: 7.7 Mg/m³
- Energy above the lowest structure with this stoichiometry: 218 meV per atom
- Fermi-level density of states: 0.35 states/eV/atom
- Symmetry: R3m, No. 160


No. 4
## TcHIr2Ru (GGA-PBE)

Data for a geometry-optimized TcHIr2Ru structure.

Cell lengths 3.896, 3.896, 3.941 Å; angles 90.00, 90.00, 90.00 degrees
Element x y z (fractional)
Ru: 0.000 0.000 0.500
Ir: 0.000 0.500 0.000
Ir: 0.500 0.000 0.000
Tc: 0.500 0.500 0.500
H: 0.000 0.000 0.000

Values from the calculation:
- Crystal system: tetragonal
- Density: 16.2 Mg/m³
- Energy above the lowest structure with this stoichiometry: 0 meV per atom
- Fermi-level density of states: 1.00 states/eV/atom
- Symmetry: P4/mmm, No. 123


No. 5
## NaAgAu2 (GGA-PBE)

Data for a geometry-optimized NaAgAu2 structure.

Cell lengths 6.555, 6.555, 7.847 Å; angles 65.31, 65.31, 90.00 degrees
Element x y z (fractional)
Na: 0.500 0.500 0.000
Na: 0.250 0.750 0.500
Au: 0.656 0.125 0.250
Au: 0.094 0.625 0.250
Au: 0.375 0.344 0.750
Au: 0.875 0.906 0.750
Ag: 0.000 0.000 0.000
Ag: 0.750 0.250 0.500

Values from the calculation:
- Crystal system: tetragonal
- Density: 6.4 Mg/m³
- Energy above the lowest structure with this stoichiometry: 471 meV per atom
- Fermi-level density of states: 0.00 states/eV/atom
- Symmetry: I-42d, No. 122
- Formation enthalpy at 0 K: 0.319 eV per atom


No. 6
## PmSmN2 (GGA-PBE)

Data for a geometry-optimized PmSmN2 structure.

Cell lengths 3.533, 3.533, 6.455 Å; angles 74.12, 74.12, 60.00 degrees
Element x y z (fractional)
Pm: 0.671 0.671 0.986
Sm: 0.501 0.501 0.497
N: 0.080 0.080 0.760
N: 0.248 0.248 0.257

Values from the calculation:
- Crystal system: trigonal
- Density: 8.1 Mg/m³
- Energy above the lowest structure with this stoichiometry: 216 meV per atom
- Symmetry: R3m, No. 160


No. 7
## AlSn2Hg2 (GGA-PBE)

Data for a geometry-optimized AlSn2Hg2 structure.

Cell lengths 3.989, 3.989, 9.021 Å; angles 77.23, 77.23, 90.00 degrees
Element x y z (fractional)
Al: 0.000 0.000 0.000
Hg: 0.750 0.250 0.500
Hg: 0.250 0.750 0.500
Sn: 0.410 0.410 0.180
Sn: 0.590 0.590 0.820

Values from the calculation:
- Crystal system: tetragonal
- Density: 8.1 Mg/m³
- Energy above the lowest structure with this stoichiometry: 69 meV per atom
- Fermi-level density of states: 0.49 states/eV/atom
- Symmetry: I4/mmm, No. 139
- Formation enthalpy at 0 K: 0.253 eV per atom


No. 8
## Tm8ZnFe2 (GGA-PBE)

Data for a geometry-optimized Tm8ZnFe2 structure.

Cell lengths 5.306, 7.582, 7.582 Å; angles 112.20, 97.94, 97.94 degrees
Element x y z (fractional)
Zn: 0.000 0.003 0.003
Tm: 0.582 0.334 0.067
Tm: 0.582 0.067 0.334
Tm: 0.197 0.382 0.382
Tm: 0.000 0.247 0.760
Tm: 0.000 0.760 0.247
Tm: 0.803 0.624 0.624
Tm: 0.418 0.940 0.672
Tm: 0.418 0.672 0.940
Fe: 0.500 0.689 0.317
Fe: 0.500 0.317 0.689

Values from the calculation:
- Crystal system: monoclinic
- Density: 9.3 Mg/m³
- Fermi-level density of states: 0.90 states/eV/atom
- Symmetry: Cm, No. 8
- Formation enthalpy at 0 K: -0.005 eV per atom


No. 9
## La2TmPaAs4 (GGA-PBE)

Data for a geometry-optimized La2TmPaAs4 structure.

Cell lengths 4.217, 7.251, 7.359 Å; angles 109.38, 90.00, 90.00 degrees
Element x y z (fractional)
La: 0.500 0.000 0.500
La: 0.000 0.500 0.500
Tm: 0.000 0.000 0.000
Pa: 0.500 0.500 0.000
As: 0.500 0.246 0.230
As: 0.500 0.754 0.770
As: 0.000 0.258 0.770
As: 0.000 0.742 0.230

Values from the calculation:
- Crystal system: monoclinic
- Density: 7.6 Mg/m³
- Fermi-level density of states: 0.65 states/eV/atom
- Symmetry: P2/m, No. 10
- Formation enthalpy at 0 K: -1.423 eV per atom


No. 10
## SrAsOs3 (GGA-PBE)

Data for a geometry-optimized SrAsOs3 structure.

Cell lengths 4.833, 4.833, 4.833 Å; angles 90.00, 90.00, 90.00 degrees
Element x y z (fractional)
Sr: 0.000 0.000 0.000
As: 0.500 0.500 0.500
Os: 0.000 0.500 0.000
Os: 0.000 0.000 0.500
Os: 0.500 0.000 0.000

Values from the calculation:
- Crystal system: cubic
- Density: 10.8 Mg/m³
- Energy above the lowest structure with this stoichiometry: 2565 meV per atom
- Fermi-level density of states: 1.80 states/eV/atom
- Symmetry: Pm-3m, No. 221
- Formation enthalpy at 0 K: 3.662 eV per atom


No. 11
## CaZrIn2 (GGA-PBE)

Data for a geometry-optimized CaZrIn2 structure.

Cell lengths 5.578, 5.578, 3.238 Å; angles 90.00, 90.00, 104.81 degrees
Element x y z (fractional)
Ca: 0.000 0.500 0.500
Zr: 0.500 0.000 0.500
In: 0.000 0.000 0.000
In: 0.500 0.500 0.000

Values from the calculation:
- Crystal system: orthorhombic
- Density: 6.2 Mg/m³
- Fermi-level density of states: 0.48 states/eV/atom
- Symmetry: Cmmm, No. 65
- Formation enthalpy at 0 K: -0.285 eV per atom


No. 12
## Na2PaSbS4 (GGA-PBE)

Data for a geometry-optimized Na2PaSbS4 structure.

Cell lengths 3.964, 8.787, 7.098 Å; angles 124.76, 90.00, 90.00 degrees
Site moments in Bohr magnetons follow the coordinates.
Element x y z (fractional)
Na: 0.500 0.000 0.500  0.00
Na: 0.000 0.500 0.500  0.00
Pa: 0.500 0.500 0.000  0.17
Sb: 0.000 0.000 0.000  -0.02
S: 0.500 0.261 0.116  -0.01
S: 0.500 0.739 0.884  -0.01
S: 0.000 0.302 0.705  -0.01
S: 0.000 0.698 0.295  -0.01

Values from the calculation:
- Crystal system: monoclinic
- Density: 4.3 Mg/m³
- Fermi-level density of states: 0.37 states/eV/atom
- Symmetry: P2/m, No. 10
- Total energy: -41.19 eV per cell


No. 13
## Er4SnSeS2 (GGA-PBE)

Data for a geometry-optimized Er4SnSeS2 structure.

Cell lengths 3.978, 7.061, 7.029 Å; angles 70.98, 90.00, 90.00 degrees
Element x y z (fractional)
Er: 0.000 0.775 0.735
Er: 0.000 0.225 0.265
Er: 0.500 0.769 0.246
Er: 0.500 0.231 0.754
Sn: 0.500 0.500 0.000
Se: 0.000 0.500 0.500
S: 0.000 0.000 0.000
S: 0.500 0.000 0.500

Values from the calculation:
- Crystal system: monoclinic
- Density: 8.3 Mg/m³
- Fermi-level density of states: 0.47 states/eV/atom
- Symmetry: P2/m, No. 10
- Total energy: -46.38 eV per cell


No. 14
## KCu4Se4 (GGA-PBE)

Data for a geometry-optimized KCu4Se4 structure.

Cell lengths 3.632, 7.827, 7.827 Å; angles 86.91, 76.58, 76.58 degrees
Element x y z (fractional)
K: 0.000 0.000 0.000
Cu: 0.894 0.703 0.510
Cu: 0.597 0.510 0.297
Cu: 0.106 0.297 0.490
Cu: 0.403 0.490 0.703
Se: 0.421 0.815 0.344
Se: 0.579 0.185 0.656
Se: 0.765 0.656 0.815
Se: 0.235 0.344 0.185

Values from the calculation:
- Crystal system: tetragonal
- Density: 4.8 Mg/m³
- Fermi-level density of states: 1.05 states/eV/atom
- Symmetry: I4/m, No. 87
- Total energy: -33.75 eV per cell


No. 15
## Tl3RuN (GGA-PBE)

Data for a geometry-optimized Tl3RuN structure.

Cell lengths 4.805, 4.805, 4.805 Å; angles 90.00, 90.00, 90.00 degrees
Site moments in Bohr magnetons follow the coordinates.
Element x y z (fractional)
Ru: 0.500 0.500 0.500  1.75
Tl: 0.000 0.500 0.000  -0.01
Tl: 0.000 0.000 0.500  0.02
Tl: 0.500 0.000 0.000  -0.03
N: 0.000 0.000 0.000  -0.16

Values from the calculation:
- Crystal system: cubic
- Density: 10.9 Mg/m³
- Energy above the lowest structure with this stoichiometry: 134 meV per atom
- Fermi-level density of states: 0.59 states/eV/atom
- Symmetry: Pm-3m, No. 221


No. 16
## ZnAg2Pd3 (GGA-PBE)

Data for a geometry-optimized ZnAg2Pd3 structure.

Cell lengths 7.098, 5.288, 5.288 Å; angles 95.68, 82.37, 82.37 degrees
Element x y z (fractional)
Zn: 0.750 0.915 0.085
Zn: 0.250 0.085 0.915
Ag: 0.627 0.135 0.613
Ag: 0.127 0.613 0.135
Ag: 0.873 0.387 0.865
Ag: 0.373 0.865 0.387
Pd: 0.250 0.407 0.593
Pd: 0.750 0.593 0.407
Pd: 0.001 0.851 0.694
Pd: 0.499 0.306 0.149
Pd: 0.501 0.694 0.851
Pd: 0.999 0.149 0.306

Values from the calculation:
- Crystal system: monoclinic
- Density: 10.3 Mg/m³
- Energy above the lowest structure with this stoichiometry: 84 meV per atom
- Fermi-level density of states: 0.35 states/eV/atom
- Symmetry: C2/c, No. 15
- Formation enthalpy at 0 K: -0.138 eV per atom


No. 17
## LaTeI (GGA-PBE)

Data for a geometry-optimized LaTeI structure.

Cell lengths 4.015, 4.015, 7.807 Å; angles 104.90, 104.90, 90.00 degrees
Element x y z (fractional)
I: 0.032 0.032 0.065
Te: 0.289 0.289 0.579
La: 0.678 0.678 0.357

Values from the calculation:
- Crystal system: tetragonal
- Density: 5.6 Mg/m³
- Energy above the lowest structure with this stoichiometry: 192 meV per atom
- Fermi-level density of states: 0.37 states/eV/atom
- Symmetry: I4mm, No. 107


No. 18
## CaOs2W (GGA-PBE)

Data for a geometry-optimized CaOs2W structure.

Cell lengths 4.841, 4.841, 5.724 Å; angles 77.22, 77.22, 35.72 degrees
Element x y z (fractional)
Ca: 0.250 0.250 0.250
Os: 0.024 0.024 0.924
Os: 0.476 0.476 0.576
W: 0.750 0.750 0.750

Values from the calculation:
- Crystal system: monoclinic
- Density: 13.2 Mg/m³
- Energy above the lowest structure with this stoichiometry: 273 meV per atom
- Fermi-level density of states: 0.73 states/eV/atom
- Symmetry: C2/m, No. 12
- Formation enthalpy at 0 K: 0.536 eV per atom


No. 19
## Ba2SiPdI (GGA-PBE)

Data for a geometry-optimized Ba2SiPdI structure.

Cell lengths 6.330, 6.330, 4.596 Å; angles 90.00, 90.00, 90.00 degrees
Element x y z (fractional)
I: 0.500 0.500 0.500
Si: 0.000 0.000 0.500
Ba: 0.000 0.500 0.000
Ba: 0.500 0.000 0.000
Pd: 0.000 0.000 0.000

Values from the calculation:
- Crystal system: tetragonal
- Density: 4.8 Mg/m³
- Energy above the lowest structure with this stoichiometry: 0 meV per atom
- Fermi-level density of states: 0.38 states/eV/atom
- Symmetry: P4/mmm, No. 123


No. 20
## Ac2SbPd5 (GGA-PBE)

Data for a geometry-optimized Ac2SbPd5 structure.

Cell lengths 6.341, 6.341, 6.341 Å; angles 92.36, 118.64, 118.64 degrees
Element x y z (fractional)
Ac: 0.500 0.249 0.749
Ac: 0.500 0.749 0.249
Sb: 0.000 0.949 0.949
Pd: 0.427 0.717 0.717
Pd: 0.000 0.717 0.291
Pd: 0.000 0.291 0.717
Pd: 0.573 0.291 0.291
Pd: 0.000 0.260 0.260

Values from the calculation:
- Crystal system: tetragonal
- Density: 10.0 Mg/m³
- Fermi-level density of states: 0.47 states/eV/atom
- Symmetry: I4mm, No. 107
- Total energy: -44.46 eV per cell